KRbBe2S: relaxed, PBE-GGA.

Unit cell a=5.851 b=5.801 c=5.851 alpha=90.00 beta=90.00 gamma=90.00
Fractional positions:
Rb (0.500, 0.500, 0.500)
K (0.000, 0.000, 0.000)
Be (0.500, 0.000, 0.000)
Be (0.000, 0.000, 0.500)
S (0.000, 0.500, 0.000)

Summary:
The value obtained for the magnetic moment is 0.000 μB per atom. The value obtained for the density of states at the Fermi level is 2.57 states/eV/cell. Its uncorrected formation energy is 1052.4 meV/atom. The value obtained for the final energy is -1.677 eV per atom.